Entry one
Computed, not measured: a relaxed structure of KYGe at the PBE level of DFT.

a b c (Å): 6.5899 5.7861 5.7861
angles (deg): 83.87 90.00 90.00
Positions (direct):
Y 0.5000 0.1023 0.3977
Ge 0.5000 0.6020 0.3980
Y 0.5000 0.6023 0.8977
K 0.0000 0.8458 0.1542
K 0.0000 0.3458 0.6542
Ge 0.5000 0.1020 0.8980

## Properties
DOS at the Fermi energy = 0.4983 states/eV per atom
symmetry = Pmm2 (25)

Entry two
Computed, not measured: a relaxed structure of KYGe at the PBE level of DFT.

a b c (Å): 5.2628 5.2628 7.6189
angles (deg): 90.00 90.00 90.00
Positions (direct):
Ge 0.0000 0.5000 0.6744
Ge 0.5000 0.0000 0.3256
Y 0.5000 0.5000 0.5000
Y 0.0000 0.0000 0.5000
K 0.5000 0.5000 0.0000
K 0.0000 0.0000 0.0000

## Properties
DOS at the Fermi energy = 0.0000 states/eV per atom
symmetry = P4/nmm (129)

Which of them is the most stable? Correct choice: entry two.

Entry one
Computed, not measured: a relaxed structure of KYGe at the PBE level of DFT.

a b c (Å): 7.6086 4.8236 10.0167
angles (deg): 90.00 90.00 90.00
Positions (direct):
Ge 0.1750 0.7500 0.8791
Y 0.4602 0.2500 0.6536
Ge 0.6750 0.7500 0.6209
Y 0.9602 0.2500 0.8464
K 0.3755 0.2500 0.0589
Ge 0.8250 0.2500 0.1209
Ge 0.3250 0.2500 0.3791
K 0.8755 0.2500 0.4411
K 0.1245 0.7500 0.5589
K 0.6245 0.7500 0.9411
Y 0.0398 0.7500 0.1536
Y 0.5398 0.7500 0.3464

## Properties
DOS at the Fermi energy = 0.0000 states/eV per atom
symmetry = Pnma (62)

Entry two
Computed, not measured: a relaxed structure of KYGe at the PBE level of DFT.

a b c (Å): 8.9328 5.0629 8.1792
angles (deg): 90.00 90.00 90.00
Positions (direct):
Ge 0.3191 0.7500 0.8908
K 0.4853 0.2500 0.6492
Y 0.1448 0.7500 0.5809
K 0.5147 0.7500 0.3508
Ge 0.8191 0.7500 0.6092
K 0.0147 0.7500 0.1492
Y 0.6448 0.7500 0.9191
Y 0.8552 0.2500 0.4191
Ge 0.1809 0.2500 0.3908
Y 0.3552 0.2500 0.0809
Ge 0.6809 0.2500 0.1092
K 0.9853 0.2500 0.8508

## Properties
DOS at the Fermi energy = 0.0000 states/eV per atom
symmetry = Pnma (62)

Entry three
Computed, not measured: a relaxed structure of KYGe at the PBE level of DFT.

a b c (Å): 8.7096 7.1877 5.4840
angles (deg): 90.00 90.00 90.00
Positions (direct):
Y 0.0000 0.5000 0.0000
Ge 0.6909 0.7500 0.0000
Y 0.0000 0.0000 0.0000
Ge 0.3091 0.2500 0.0000
Y 0.5000 0.5000 0.5000
K 0.8433 0.7500 0.5000
Y 0.5000 0.0000 0.5000
Ge 0.8091 0.2500 0.5000
K 0.6567 0.2500 0.0000
K 0.1567 0.2500 0.5000
K 0.3433 0.7500 0.0000
Ge 0.1909 0.7500 0.5000

## Properties
DOS at the Fermi energy = 0.0761 states/eV per atom
symmetry = Cmcm (63)

Which of them is the most stable? Correct choice: entry two.

Entry one
Computed, not measured: a relaxed structure of KYGe at the PBE level of DFT.

a b c (Å): 5.2534 5.2534 7.6464
angles (deg): 90.00 90.00 90.00
Positions (direct):
K 0.0000 0.5000 0.8856
Ge 0.5000 0.0000 0.6681
Ge 0.0000 0.5000 0.3319
Y 0.5000 0.5000 0.5000
Y 0.0000 0.0000 0.5000
K 0.5000 0.0000 0.1144

## Properties
DOS at the Fermi energy = 0.0000 states/eV per atom
symmetry = P4/nmm (129)

Entry two
Computed, not measured: a relaxed structure of KYGe at the PBE level of DFT.

a b c (Å): 5.4203 5.4203 6.2954
angles (deg): 90.00 90.00 120.00
Positions (direct):
Ge 0.3333 0.6667 0.2500
Ge 0.6667 0.3333 0.7500
K 0.0000 0.0000 0.5000
K 0.0000 0.0000 0.0000
Y 0.3333 0.6667 0.7500
Y 0.6667 0.3333 0.2500

## Properties
DOS at the Fermi energy = 0.0888 states/eV per atom
symmetry = P6_3/mmc (194)

Entry three
Computed, not measured: a relaxed structure of KYGe at the PBE level of DFT.

a b c (Å): 6.9307 6.9307 7.9579
angles (deg): 90.00 90.00 145.86
Positions (direct):
Ge 0.4546 0.5454 0.2500
K 0.2671 0.7329 0.7500
Y 0.0000 0.0000 0.5000
K 0.7329 0.2671 0.2500
Ge 0.5454 0.4546 0.7500
Y 0.0000 0.0000 0.0000

## Properties
DOS at the Fermi energy = 0.6067 states/eV per atom
symmetry = Cmcm (63)

Which of them is the most stable? Correct choice: entry one.

Entry one
Computed, not measured: a relaxed structure of KYGe at the PBE level of DFT.

a b c (Å): 13.4324 3.9100 4.3069
angles (deg): 90.00 89.71 89.98
Positions (direct):
Y 0.2414 0.9882 0.0933
Ge 0.4645 0.9879 0.0893
Y 0.4253 0.4880 0.5900
K 0.9865 0.9886 0.5971
Ge 0.2020 0.4883 0.5939
K 0.6803 0.4876 0.0871

## Properties
DOS at the Fermi energy = 0.5178 states/eV per atom
symmetry = P2_1/m (11)

Entry two
Computed, not measured: a relaxed structure of KYGe at the PBE level of DFT.

a b c (Å): 11.0024 4.9419 4.9394
angles (deg): 120.01 89.98 77.02
Positions (direct):
Ge 0.1722 0.3458 0.8245
Ge 0.4511 0.4930 0.3979
K 0.9985 0.7951 0.5491
Y 0.2577 0.9553 0.1291
K 0.6794 0.6732 0.9870
Y 0.4411 0.1662 0.7345

## Properties
DOS at the Fermi energy = 0.0000 states/eV per atom
symmetry = Cm (8)

Which of them is the most stable? Correct choice: entry one.

Entry one
Computed, not measured: a relaxed structure of K2Y2Ge at the PBE level of DFT.

a b c (Å): 7.9031 7.9031 5.5567
angles (deg): 90.00 90.00 90.00
Positions (direct):
K 0.1295 0.3705 0.0000
Y 0.3112 0.1888 0.5000
Y 0.8112 0.3112 0.5000
Y 0.1888 0.6888 0.5000
K 0.3705 0.8705 0.0000
K 0.6295 0.1295 0.0000
Y 0.6888 0.8112 0.5000
K 0.8705 0.6295 0.0000
Ge 0.0000 0.0000 0.0000
Ge 0.5000 0.5000 0.0000

## Properties
DOS at the Fermi energy = 0.8595 states/eV per atom
symmetry = P4/mbm (127)

Entry two
Computed, not measured: a relaxed structure of K2Y2Ge at the PBE level of DFT.

a b c (Å): 4.4524 4.4524 11.2138
angles (deg): 78.55 78.55 90.00
Site moments in Bohr magnetons follow the coordinates.
Positions (direct):
K 0.5845 0.5845 0.8311  0.00
Y 0.7500 0.2500 0.5000  0.18
K 0.4155 0.4155 0.1689  0.00
Y 0.2500 0.7500 0.5000  0.18
Ge 0.0000 0.0000 0.0000  -0.14

## Properties
DOS at the Fermi energy = 0.9967 states/eV per atom
symmetry = I4/mmm (139)

Which of them is the most stable? Correct choice: entry two.

Entry one
Computed, not measured: a relaxed structure of KYGe2 at the PBE level of DFT.

a b c (Å): 5.2360 5.2360 5.2360
angles (deg): 60.00 60.00 60.00
Positions (direct):
Ge 0.7500 0.7500 0.7500
Y 0.5000 0.5000 0.5000
K 0.0000 0.0000 0.0000
Ge 0.2500 0.2500 0.2500

## Properties
DOS at the Fermi energy = 0.5769 states/eV per atom
symmetry = Fm-3m (225)

Entry two
Computed, not measured: a relaxed structure of KYGe2 at the PBE level of DFT.

a b c (Å): 5.3547 5.3547 10.4805
angles (deg): 75.20 75.20 90.00
Positions (direct):
K 0.5000 0.5000 0.0000
Y 0.0000 0.0000 0.0000
Ge 0.8750 0.0176 0.7500
Ge 0.7676 0.1250 0.2500
Ge 0.9824 0.6250 0.2500
Ge 0.3750 0.2324 0.7500
K 0.2500 0.7500 0.5000
Y 0.7500 0.2500 0.5000

## Properties
DOS at the Fermi energy = 0.0780 states/eV per atom
symmetry = I-42d (122)

Which of them is the most stable? Correct choice: entry one.